1.
Entry from the Alexandria database: crystalline Mg3AlS4 at its relaxed geometry (PBE-GGA).

Lattice parameters (Å, degrees): 5.6523 5.6523 5.6523 90.00 90.00 90.00
With the nearest neighbours (Å) after each atom.
Element x y z (fractional)
Mg 0.0000 0.5000 0.5000  4 S 2.48
Mg 0.5000 0.5000 0.0000  4 S 2.48
Mg 0.5000 0.0000 0.5000  4 S 2.48
Al 0.0000 0.0000 0.0000  4 S 2.35
S 0.2396 0.7604 0.7604  1 Al 2.35, 3 Mg 2.48
S 0.7604 0.7604 0.2396  1 Al 2.35, 3 Mg 2.48
S 0.7604 0.2396 0.7604  1 Al 2.35, 3 Mg 2.48
S 0.2396 0.2396 0.2396  1 Al 2.35, 3 Mg 2.48

Properties
**Density**: 2.10 g cm⁻³
**Calculated total energy**: -4.250 eV per atom
**ΔE_f (raw)**: -1.12 eV/atom



2.
Entry from the Alexandria database: crystalline MgAlS3 at its relaxed geometry (PBE-GGA).

Lattice parameters (Å, degrees): 4.2038 6.3535 8.8651 103.09 90.00 90.00
With the nearest neighbours (Å) after each atom.
Element x y z (fractional)
Mg 0.2500 0.1174 0.6847  4 S 2.48-2.69
Mg 0.7500 0.8826 0.3153  4 S 2.48-2.69
Al 0.2500 0.3066 0.2044  4 S 2.25-2.38
Al 0.7500 0.6934 0.7956  4 S 2.25-2.38
S 0.2500 0.0406 0.9807  2 S 2.21, 1 Al 2.30
S 0.7500 0.9594 0.0193  2 S 2.21, 1 Al 2.30
S 0.2500 0.0962 0.3779  1 Al 2.25, 2 Mg 2.50
S 0.7500 0.9038 0.6221  1 Al 2.25, 2 Mg 2.50
S 0.2500 0.5142 0.7863  2 Al 2.38, 1 Mg 2.48
S 0.7500 0.4858 0.2137  2 Al 2.38, 1 Mg 2.48

Properties
**Density**: 2.12 g cm⁻³
**Calculated total energy**: -4.465 eV per atom
**ΔE_f (raw)**: -0.92 eV/atom